No. 1
## Sc2Mn2Fe (GGA-PBE)

Data for Sc2Mn2Fe after structural relaxation.

Geometry as extended XYZ:
```
10
Lattice="6.027 0.000 0.000 0.000 6.027 0.000 0.000 0.000 4.275" Properties=species:S:1:pos:R:3 pbc="T T T"
Sc 1.926 1.087 2.138
Sc 1.087 4.101 2.138
Sc 4.101 4.940 2.138
Sc 4.940 1.926 2.138
Mn 0.742 2.272 0.000
Mn 3.755 0.742 0.000
Mn 5.285 3.755 0.000
Mn 2.272 5.285 0.000
Fe 0.000 0.000 0.000
Fe 3.013 3.013 0.000
```

Results
Total magnetic moment   0.039 μB/f.u.
Formation energy   68 meV per atom

---

No. 2
## ScMn5Fe (GGA-PBE)

Data for ScMn5Fe after structural relaxation.

Geometry as extended XYZ:
```
28
Lattice="-1.338 -4.491 0.259 0.496 0.301 7.766 -9.239 2.781 0.482" Properties=species:S:1:pos:R:3 pbc="T T T"
Mn -9.448 -0.802 1.053
Mn -0.633 -0.607 7.455
Mn -7.816 0.235 4.983
Mn -6.116 -1.580 4.774
Mn -7.702 -1.212 2.963
Mn -3.693 -3.296 7.584
Mn -7.019 -0.230 1.046
Mn -5.419 -1.627 7.555
Mn -2.378 -0.197 5.544
Mn -0.294 -0.871 4.620
Mn -3.062 -1.178 7.462
Mn -2.474 -0.393 1.654
Mn -4.662 0.218 0.953
Mn -9.786 -0.537 3.887
Mn -3.964 0.171 3.733
Mn -7.607 -1.015 6.854
Mn -2.265 -1.643 3.524
Mn -6.388 1.887 0.923
Mn -2.896 -3.761 3.647
Mn -7.185 2.352 4.861
Sc -1.227 -2.963 6.057
Sc -4.903 -2.081 2.354
Sc -8.854 1.554 2.450
Sc -5.178 0.673 6.154
Fe -3.933 -2.200 5.307
Fe -7.770 1.504 7.181
Fe -2.311 -2.913 1.327
Fe -6.148 0.791 3.201
```

Results
Total magnetic moment   3.436 μB/f.u.
Formation energy   -4 meV per atom

---

No. 3
## ScMnFe (GGA-PBE)

Data for ScMnFe after structural relaxation.

Geometry as extended XYZ:
```
3
Lattice="-0.052 -5.538 -1.215 2.668 -4.811 -1.374 0.482 -1.265 2.474" Properties=species:S:1:pos:R:3 pbc="T T T"
Sc 1.192 -4.287 0.789
Mn 1.845 -7.067 -0.760
Fe 0.543 -1.525 2.329
```

Results
Total magnetic moment   0.411 μB/f.u.
Relative energy among the computed polymorphs   265 meV/atom
Formation energy   85 meV per atom